(1)
Material: Sm2Zr
Method: DFT, PBE
State: relaxed

Cell: 8.6722 8.6722 8.6722 Å, 60.00 60.00 60.00°
With the nearest neighbours (Å) after each atom.
Sites, in units of the cell vectors:
Sm  0.3750  0.3750  0.3750  2 Zr 2.66
Sm  0.8750  0.3750  0.3750  2 Zr 2.66
Sm  0.3750  0.8750  0.3750  2 Zr 2.66
Sm  0.3750  0.3750  0.8750  2 Zr 2.66
Zr  0.2500  0.2500  0.2500  4 Sm 2.66
Zr  0.5000  0.5000  0.5000  4 Sm 2.66

## Properties
Symmetry = Fd-3m
ΔE to the lowest computed polymorph = 1568.5 meV/atom

***

(2)
Material: Sm2Zr
Method: DFT, PBE
State: relaxed

Cell: 6.3322 6.3322 6.3322 Å, 60.00 60.00 60.00°
With the nearest neighbours (Å) after each atom.
Sites, in units of the cell vectors:
Sm  0.6250  0.6250  0.1250  6 Sm 3.17
Sm  0.6250  0.1250  0.6250  6 Sm 3.17
Sm  0.1250  0.6250  0.6250  6 Sm 3.17
Sm  0.6250  0.6250  0.6250  6 Sm 3.17
Zr  0.0000  0.0000  0.0000  12 Sm 3.71, 4 Zr 3.88
Zr  0.2500  0.2500  0.2500  12 Sm 3.71, 4 Zr 3.88

## Properties
Symmetry = Fd-3m
ΔE to the lowest computed polymorph = 0.0 meV/atom

***

(3)
Material: SmZr3
Method: DFT, PBE
State: relaxed

Cell: 5.7805 6.6437 5.2902 Å, 90.00 90.00 90.00°
With the nearest neighbours (Å) after each atom.
Sites, in units of the cell vectors:
Sm  0.0103  0.0000  0.0000  12 Zr 3.31-3.33
Sm  0.3230  0.5000  0.5000  12 Zr 3.31-3.33
Zr  0.5089  0.2446  0.0000  8 Zr 3.18-3.53, 4 Sm 3.31-3.32
Zr  0.9733  0.5000  0.0000  8 Zr 3.18-3.53, 4 Sm 3.33
Zr  0.5089  0.7554  0.0000  8 Zr 3.18-3.53, 4 Sm 3.31-3.32
Zr  0.3600  0.0000  0.5000  8 Zr 3.18-3.53, 4 Sm 3.33
Zr  0.8245  0.2554  0.5000  8 Zr 3.18-3.53, 4 Sm 3.31-3.32
Zr  0.8245  0.7446  0.5000  8 Zr 3.18-3.53, 4 Sm 3.31-3.32

## Properties
Symmetry = Pmmn
ΔE to the lowest computed polymorph = 0.0 meV/atom

***

(4)
Material: Sm2Zr
Method: DFT, PBE
State: relaxed

Cell: 5.2722 5.2722 5.2722 Å, 60.00 60.00 60.00°
With the nearest neighbours (Å) after each atom.
Sites, in units of the cell vectors:
Sm  0.2500  0.2500  0.2500  4 Zr 3.23
Sm  0.7500  0.7500  0.7500  4 Zr 3.23
Zr  0.0000  0.0000  0.0000  8 Sm 3.23

## Properties
Symmetry = Fm-3m
ΔE to the lowest computed polymorph = 203.9 meV/atom

***

no.,spin magnetization (μB per formula unit),formation enthalpy at 0 K (meV per atom),total DFT energy (no corrections) (eV per atom)
1,0.01,2136,-3.85
2,1.35,568,-5.42
3,0.01,95,-7.49
4,1.70,772,-5.22